{
  "formula": "Sr2TiOsRh",
  "functional": "PBE",
  "state": "relaxed",
  "ef_mev_per_atom": 794,
  "final_energy_ev_per_atom": -5.174,
  "lattice_angstrom": [[-5.645, 1.193, -0.456], [-1.010, -4.261, 1.345], [-0.074, 1.758, 5.514]],
  "species": ["Rh", "Ti", "Os", "Sr", "Sr"],
  "fractional_positions": [[0.500, 0.500, 0.500], [0.000, 0.500, 0.000], [0.000, 0.000, 0.000], [0.000, 0.000, 0.500], [0.500, 0.000, 0.000]]
}